# 1
Compound: P2IrRh
Source: Alexandria via LeMat-Bulk
Functional: PBE-GGA
Structure: optimized geometry

Results
- Density of states at the Fermi level: 2.1 states/eV/f.u.
- Energy of formation: -0.21 eV/atom
- Space group: P2/m (10)

Cell lengths 3.7663, 4.0267, 4.1276 Å; angles 93.27, 90.00, 90.00 degrees
Atoms (fractional coordinates):
1 Ir 0.5000 0.7500 0.7500
2 P 0.0000 0.9246 0.0646
3 P 0.0000 0.5754 0.4354
4 Rh 0.5000 0.2500 0.2500

***

# 2
Compound: P2IrRh
Source: Alexandria via LeMat-Bulk
Functional: PBE-GGA
Structure: optimized geometry

Results
- Density of states at the Fermi level: 2.5 states/eV/f.u.
- Energy of formation: -0.41 eV/atom
- Space group: I-42d (122)

Cell lengths 5.2447, 5.2447, 6.4480 Å; angles 66.00, 66.00, 90.00 degrees
Atoms (fractional coordinates):
1 P 0.6263 0.1250 0.2500
2 P 0.1237 0.6250 0.2500
3 P 0.3750 0.3737 0.7500
4 P 0.8750 0.8763 0.7500
5 Ir 0.0000 0.0000 0.0000
6 Ir 0.7500 0.2500 0.5000
7 Rh 0.5000 0.5000 0.0000
8 Rh 0.2500 0.7500 0.5000

***

# 3
Compound: PIr2Rh
Source: Alexandria via LeMat-Bulk
Functional: PBE-GGA
Structure: optimized geometry

Results
- Density of states at the Fermi level: 4.5 states/eV/f.u.
- Energy of formation: -0.13 eV/atom
- Space group: Amm2 (38)

Cell lengths 5.5306, 5.5306, 3.6852 Å; angles 90.00, 90.00, 149.97 degrees
Atoms (fractional coordinates):
1 P 0.2853 0.7147 0.0000
2 Ir 0.0628 0.9372 0.0000
3 Ir 0.4307 0.5693 0.5000
4 Rh 0.7087 0.2913 0.5000

***

# 4
Compound: PIrRh2
Source: Alexandria via LeMat-Bulk
Functional: PBE-GGA
Structure: optimized geometry

Results
- Density of states at the Fermi level: 2.9 states/eV/f.u.
- Energy of formation: -0.02 eV/atom
- Space group: Cmmm (65)

Cell lengths 4.6052, 4.6052, 2.7958 Å; angles 90.00, 90.00, 109.41 degrees
Atoms (fractional coordinates):
1 P 0.5000 0.5000 0.5000
2 Ir 0.0000 0.0000 0.5000
3 Rh 0.5000 0.0000 0.0000
4 Rh 0.0000 0.5000 0.0000

***

# 5
Compound: P2IrRh
Source: Alexandria via LeMat-Bulk
Functional: PBE-GGA
Structure: optimized geometry

Results
- Density of states at the Fermi level: 3.7 states/eV/f.u.
- Energy of formation: 0.19 eV/atom
- Space group: Cmmm (65)

Cell lengths 2.8809, 2.8809, 8.0996 Å; angles 90.00, 90.00, 121.88 degrees
Atoms (fractional coordinates):
1 Ir 0.5000 0.5000 0.7500
2 P 0.0000 0.0000 0.0015
3 P 0.0000 0.0000 0.4985
4 Rh 0.5000 0.5000 0.2500

***

# 6
Compound: PIr2Rh
Source: Alexandria via LeMat-Bulk
Functional: PBE-GGA
Structure: optimized geometry

Results
- Density of states at the Fermi level: 4.3 states/eV/f.u.
- Energy of formation: 0.18 eV/atom
- Space group: I4/mmm (139)

Cell lengths 4.5659, 4.5659, 4.5659 Å; angles 128.79, 128.79, 75.36 degrees
Atoms (fractional coordinates):
1 P 0.5000 0.5000 0.0000
2 Ir 0.7500 0.2500 0.5000
3 Ir 0.2500 0.7500 0.5000
4 Rh 0.0000 0.0000 0.0000